# 1
{
  "formula": "Rb2Zn2Cu",
  "functional": "PBE",
  "state": "optimized geometry",
  "n_ef_per_ev_cell": 5.23,
  "spacegroup": "P4/mbm, No. 127",
  "total_energy_ev_per_atom": -1.409,
  "cell": [[-5.489, 3.184, 3.369], [-3.722, -6.140, -0.262], [2.238, -1.576, 5.135]],
  "species": ["Zn", "Zn", "Zn", "Zn", "Rb", "Rb", "Rb", "Rb", "Cu", "Cu"],
  "fractional_positions": [[0.140, 0.360, 0.000], [0.860, 0.640, 0.000], [0.640, 0.140, 0.000], [0.360, 0.860, 0.000], [0.182, 0.682, 0.500], [0.818, 0.318, 0.500], [0.682, 0.818, 0.500], [0.318, 0.182, 0.500], [0.500, 0.500, 0.000], [0.000, 0.000, 0.000]]
}

=====

# 2
{
  "formula": "Hf2TaFeSi",
  "functional": "PBE",
  "state": "optimized geometry",
  "n_ef_per_ev_cell": 4.37,
  "spacegroup": "P4/mmm, No. 123",
  "total_energy_ev_per_atom": -7.853,
  "cell": [[-0.902, 2.568, -4.338], [-1.733, -3.567, -1.751], [-4.607, 1.370, 1.769]],
  "species": ["Hf", "Hf", "Ta", "Fe", "Si"],
  "fractional_positions": [[0.500, 0.000, 0.000], [0.000, 0.000, 0.500], [0.000, 0.000, 0.000], [0.000, 0.500, 0.000], [0.500, 0.500, 0.500]]
}

=====

Repeat the first record exactly.
{
  "formula": "Rb2Zn2Cu",
  "functional": "PBE",
  "state": "optimized geometry",
  "n_ef_per_ev_cell": 5.23,
  "spacegroup": "P4/mbm, No. 127",
  "total_energy_ev_per_atom": -1.409,
  "cell": [[-5.489, 3.184, 3.369], [-3.722, -6.140, -0.262], [2.238, -1.576, 5.135]],
  "species": ["Zn", "Zn", "Zn", "Zn", "Rb", "Rb", "Rb", "Rb", "Cu", "Cu"],
  "fractional_positions": [[0.140, 0.360, 0.000], [0.860, 0.640, 0.000], [0.640, 0.140, 0.000], [0.360, 0.860, 0.000], [0.182, 0.682, 0.500], [0.818, 0.318, 0.500], [0.682, 0.818, 0.500], [0.318, 0.182, 0.500], [0.500, 0.500, 0.000], [0.000, 0.000, 0.000]]
}